## In2CoIO8 (GGA+U)

Data for crystalline In2CoIO8 at its relaxed geometry.

Results
For the calculated total energy, the calculation gives -0.192 hartree per atom. The calculation puts the magnetization at 3.99 μB/cell. Its crystal system is monoclinic.

Lattice parameters (Å, degrees): 4.8056 4.8010 6.4566 90.00 90.00 93.43
Closest atoms and distances in Å follow each position.
Element x y z (fractional)
O 0.2915 0.2889 0.0000  1 I 1.91
O 0.7164 0.7179 0.5000  1 Co 1.86
O 0.1786 0.8194 0.7761  1 I 1.91
O 0.8214 0.1806 0.7761  1 I 1.91
O 0.2836 0.2821 0.5000  1 Co 1.86
O 0.7085 0.7111 0.0000  1 I 1.91
O 0.1786 0.8194 0.2239  1 I 1.91
O 0.8214 0.1806 0.2239  1 I 1.91
I 0.0000 0.0000 0.0000  6 O 1.91
In 0.5000 0.5000 0.7432  6 O 2.12-2.25
In 0.5000 0.5000 0.2568  6 O 2.12-2.25
Co 0.0000 0.0000 0.5000  2 O 1.86